Record 1
Computed, not measured: OsAu2Cl6 after structural relaxation at the GGA-PBE level of DFT.

Results
* electronic total energy: -3.4883 eV/atom
* E_form (uncorrected): -0.2812 eV per atom

Cell lengths 9.6953, 9.6953, 5.9665 Å; angles 91.85, 91.85, 90.76 degrees
Closest atoms and distances in Å follow each position.
Element x y z (fractional)
Os: 0.0643 0.9357 0.7500  6 Cl 2.27-2.42
Os: 0.9357 0.0643 0.2500  6 Cl 2.27-2.42
Au: 0.3829 0.3840 0.7122  2 Cl 2.34
Au: 0.3840 0.3829 0.2122  2 Cl 2.34
Au: 0.6160 0.6171 0.7878  2 Cl 2.34
Au: 0.6171 0.6160 0.2878  2 Cl 2.34
Cl: 0.0352 0.1605 0.5917  2 Os 2.38-2.42
Cl: 0.0750 0.7213 0.8923  1 Os 2.27
Cl: 0.1605 0.0352 0.0917  2 Os 2.38-2.42
Cl: 0.2479 0.5083 0.4601  2 Au 2.34
Cl: 0.2787 0.9250 0.6077  1 Os 2.27
Cl: 0.4917 0.7521 0.0399  2 Au 2.34
Cl: 0.5083 0.2479 0.9601  2 Au 2.34
Cl: 0.7213 0.0750 0.3923  1 Os 2.27
Cl: 0.7521 0.4917 0.5399  2 Au 2.34
Cl: 0.8395 0.9648 0.9083  2 Os 2.38-2.42
Cl: 0.9250 0.2787 0.1077  1 Os 2.27
Cl: 0.9648 0.8395 0.4083  2 Os 2.38-2.42

***

Record 2
Computed, not measured: RbTl3Cu after structural relaxation at the GGA-PBE level of DFT.

Results
* energy above the lowest structure with this stoichiometry: 0 meV/atom
* electronic total energy: -2.3357 eV/atom
* E_form: 97 meV per atom

Cell lengths 5.4510, 5.4510, 5.4510 Å; angles 90.00, 90.00, 90.00 degrees
Closest atoms and distances in Å follow each position.
Element x y z (fractional)
Rb: 0.0000 0.0000 0.0000  12 Tl 3.85
Tl: 0.0000 0.5000 0.5000  2 Cu 2.73
Tl: 0.5000 0.0000 0.5000  2 Cu 2.73
Tl: 0.5000 0.5000 0.0000  2 Cu 2.73
Cu: 0.5000 0.5000 0.5000  6 Tl 2.73

***

Record 3
Computed, not measured: LiNi2HAu after structural relaxation at the GGA-PBE level of DFT.

Results
* energy above the lowest structure with this stoichiometry: 136 meV/atom
* electronic total energy: -4.0726 eV/atom

Cell lengths 3.6202, 3.6202, 4.1171 Å; angles 90.00, 90.00, 90.00 degrees
Closest atoms and distances in Å follow each position.
Element x y z (fractional)
Li: 0.0000 0.0000 0.0000  4 Au 2.56, 8 Ni 2.74
Ni: 0.0000 0.5000 0.5000  2 H 1.81
Ni: 0.5000 0.0000 0.5000  2 H 1.81
H: 0.5000 0.5000 0.5000  4 Ni 1.81
Au: 0.5000 0.5000 0.0000  2 H 2.06

***

Record 4
Computed, not measured: KSr2Tc after structural relaxation at the GGA-PBE level of DFT.

Results
* energy above the lowest structure with this stoichiometry: 0 meV/atom
* electronic total energy: -3.0886 eV/atom
* E_form: 618 meV per atom

Cell lengths 3.7578, 3.7583, 11.2910 Å; angles 90.00, 90.45, 90.00 degrees
Closest atoms and distances in Å follow each position.
Element x y z (fractional)
K: 0.0000 0.0000 0.0000  4 K 3.76
Sr: 0.4957 0.5000 0.3358  4 Tc 3.24
Sr: 0.5043 0.5000 0.6642  4 Tc 3.24
Tc: 0.0000 0.0000 0.5000  8 Sr 3.24

***

Record 5
Computed, not measured: Mn4BeNi after structural relaxation at the GGA-PBE level of DFT.

Results
* electronic total energy: -7.3622 eV/atom
* E_form: 335 meV per atom

Cell lengths 4.5600, 4.5600, 4.5600 Å; angles 60.00, 60.00, 60.00 degrees
Closest atoms and distances in Å follow each position.
Element x y z (fractional)
Mn: 0.1251 0.1251 0.1251  6 Mn 2.28
Mn: 0.1251 0.1251 0.6248  6 Mn 2.28
Mn: 0.1251 0.6248 0.1251  6 Mn 2.28
Mn: 0.6248 0.1251 0.1251  6 Mn 2.28
Be: 0.5000 0.5000 0.5000  12 Mn 2.67, 4 Ni 2.79
Ni: 0.7500 0.7500 0.7500  12 Mn 2.67, 4 Be 2.79

***

Record 6
Computed, not measured: MoAsN3 after structural relaxation at the GGA-PBE level of DFT.

Results
* electronic total energy: -6.6894 eV/atom
* E_form (uncorrected): 1.4020 eV per atom

Cell lengths 3.7133, 3.7133, 3.7133 Å; angles 90.00, 90.00, 90.00 degrees
Closest atoms and distances in Å follow each position.
Element x y z (fractional)
Mo: 0.0000 0.0000 0.0000  12 N 2.63
As: 0.5000 0.5000 0.5000  6 N 1.86
N: 0.0000 0.5000 0.5000  2 As 1.86
N: 0.5000 0.0000 0.5000  2 As 1.86
N: 0.5000 0.5000 0.0000  2 As 1.86

***

Record 7
Computed, not measured: Hf5N after structural relaxation at the GGA-PBE level of DFT.

Results
* electronic total energy: -9.9001 eV/atom
* E_form (uncorrected): -0.2180 eV per atom

Cell lengths 5.3009, 14.4809, 3.0632 Å; angles 90.00, 90.00, 90.00 degrees
Closest atoms and distances in Å follow each position.
Element x y z (fractional)
Hf: 0.0000 0.0000 0.0000  4 N 3.06, 10 Hf 3.06-3.23
Hf: 0.0000 0.1963 0.5000  12 Hf 3.06-3.32
Hf: 0.0000 0.3922 0.0000  2 N 2.19
Hf: 0.0000 0.6078 0.0000  2 N 2.19
Hf: 0.0000 0.8037 0.5000  12 Hf 3.06-3.32
Hf: 0.5000 0.1078 0.0000  2 N 2.19
Hf: 0.5000 0.3037 0.5000  12 Hf 3.06-3.32
Hf: 0.5000 0.5000 0.0000  4 N 3.06, 10 Hf 3.06-3.23
Hf: 0.5000 0.6963 0.5000  12 Hf 3.06-3.32
Hf: 0.5000 0.8922 0.0000  2 N 2.19
N: 0.0000 0.5000 0.5000  4 Hf 2.19
N: 0.5000 0.0000 0.5000  4 Hf 2.19

***

Record 8
Computed, not measured: LiAlAg2 after structural relaxation at the GGA-PBE level of DFT.

Results
* electronic total energy: -3.0153 eV/atom
* E_form: -176 meV per atom

Cell lengths 3.2308, 4.4167, 9.0900 Å; angles 90.00, 90.00, 90.00 degrees
Closest atoms and distances in Å follow each position.
Element x y z (fractional)
Li: 0.0000 0.0000 0.0000  6 Ag 2.74-2.77, 2 Al 2.83
Li: 0.5000 0.5000 0.5000  6 Ag 2.74-2.77, 2 Al 2.83
Al: 0.0000 0.5000 0.2444  6 Ag 2.70-2.74, 2 Li 2.83
Al: 0.5000 0.0000 0.7444  6 Ag 2.70-2.74, 2 Li 2.83
Ag: 0.0000 0.0000 0.5059  2 Al 2.70, 4 Li 2.74, 2 Ag 2.85
Ag: 0.0000 0.5000 0.7472  4 Al 2.74, 2 Li 2.77, 2 Ag 2.85
Ag: 0.5000 0.0000 0.2472  4 Al 2.74, 2 Li 2.77, 2 Ag 2.85
Ag: 0.5000 0.5000 0.0059  2 Al 2.70, 4 Li 2.74, 2 Ag 2.85

***

| no. | density of states at the Fermi level (states/eV/f.u.) |
| --- | --- |
| 1 | 2.82 |
| 2 | 4.32 |
| 3 | 4.71 |
| 4 | 3.86 |
| 5 | 9.06 |
| 6 | 1.42 |
| 7 | 6.66 |
| 8 | 1.28 |